[1]
First-principles (PBE) data for a relaxed HfAsPtO crystal, as listed in OQMD.

Volume in Å³/cell: 118.9
Distance to the lowest polymorph of the same formula in eV per atom: 0.0885
DFT total energy in eV/atom: -7.7597

Lattice parameters (Å, degrees): 3.7724 3.7724 8.3568 90.00 90.00 90.00
With the nearest neighbours (Å) after each atom.
Fractional positions:
Hf: 0.2500 0.2500 0.1452  4 O 2.24
Hf: 0.7500 0.7500 0.8548  4 O 2.24
As: 0.2500 0.2500 0.7161  4 Pt 2.61, 4 Hf 2.91
As: 0.7500 0.7500 0.2839  4 Pt 2.61, 4 Hf 2.91
Pt: 0.2500 0.7500 0.5000  4 As 2.61, 4 Pt 2.67
Pt: 0.7500 0.2500 0.5000  4 As 2.61, 4 Pt 2.67
O: 0.2500 0.7500 0.0000  4 Hf 2.24
O: 0.7500 0.2500 0.0000  4 Hf 2.24

---

[2]
First-principles (PBE) data for a relaxed HfAsPtO crystal, as listed in OQMD.

Volume in Å³/cell: 151.5
Distance to the lowest polymorph of the same formula in eV per atom: 0.1970
DFT total energy in eV/atom: -7.6512

Lattice parameters (Å, degrees): 5.0305 4.4026 6.8392 90.00 90.00 90.00
With the nearest neighbours (Å) after each atom.
Fractional positions:
Hf: 0.0000 0.1302 0.0000  2 O 1.96-1.99
Hf: 0.0000 0.8698 0.5000  2 O 1.96-1.99
As: 0.5000 0.3620 0.9465  3 Pt 2.43-2.53
As: 0.5000 0.6380 0.4465  3 Pt 2.43-2.53
Pt: 0.5000 0.1504 0.6138  3 As 2.43-2.53
Pt: 0.5000 0.8496 0.1138  3 As 2.43-2.53
O: 0.0000 0.1724 0.2896  2 Hf 1.96-1.99
O: 0.0000 0.8276 0.7896  2 Hf 1.96-1.99

---

[3]
First-principles (PBE) data for a relaxed HfScAsO crystal, as listed in OQMD.

Volume in Å³/cell: 137.4
Distance to the lowest polymorph of the same formula in eV per atom: 0.0670
DFT total energy in eV/atom: -8.1556

Lattice parameters (Å, degrees): 4.0559 4.0559 8.3534 90.00 90.00 90.00
With the nearest neighbours (Å) after each atom.
Fractional positions:
Hf: 0.2500 0.7500 0.0000  4 As 2.67, 4 Hf 2.87
Hf: 0.7500 0.2500 0.0000  4 As 2.67, 4 Hf 2.87
Sc: 0.2500 0.2500 0.4011  4 O 2.19
Sc: 0.7500 0.7500 0.5989  4 O 2.19
As: 0.2500 0.2500 0.7912  4 Hf 2.67
As: 0.7500 0.7500 0.2088  4 Hf 2.67
O: 0.2500 0.7500 0.5000  4 Sc 2.19
O: 0.7500 0.2500 0.5000  4 Sc 2.19

---

[4]
First-principles (PBE) data for a relaxed HfScAsO crystal, as listed in OQMD.

Volume in Å³/cell: 125.6
Distance to the lowest polymorph of the same formula in eV per atom: 0.1045
DFT total energy in eV/atom: -8.1181

Lattice parameters (Å, degrees): 3.8372 3.8372 8.5299 90.00 90.00 90.00
With the nearest neighbours (Å) after each atom.
Fractional positions:
Hf: 0.2500 0.2500 0.1333  4 O 2.23
Hf: 0.7500 0.7500 0.8667  4 O 2.23
Sc: 0.2500 0.7500 0.5000  4 As 2.70, 4 Sc 2.71
Sc: 0.7500 0.2500 0.5000  4 As 2.70, 4 Sc 2.71
As: 0.2500 0.2500 0.7226  4 Sc 2.70, 4 Hf 2.98
As: 0.7500 0.7500 0.2774  4 Sc 2.70, 4 Hf 2.98
O: 0.2500 0.7500 0.0000  4 Hf 2.23
O: 0.7500 0.2500 0.0000  4 Hf 2.23

---

[5]
First-principles (PBE) data for a relaxed HfScAsO crystal, as listed in OQMD.

Volume in Å³/cell: 144.3
Distance to the lowest polymorph of the same formula in eV per atom: 0.0000
DFT total energy in eV/atom: -8.2226

Lattice parameters (Å, degrees): 4.9795 4.0272 7.1981 90.00 90.00 90.00
With the nearest neighbours (Å) after each atom.
Fractional positions:
Hf: 0.2500 0.0000 0.2313  2 O 2.09
Hf: 0.7500 0.0000 0.7687  2 O 2.09
Sc: 0.2500 0.5000 0.8584  1 O 2.14
Sc: 0.7500 0.5000 0.1416  1 O 2.14
As: 0.2500 0.0000 0.6147  2 Sc 2.67, 3 Hf 2.73-2.76, 2 As 2.99
As: 0.7500 0.0000 0.3853  2 Sc 2.67, 3 Hf 2.73-2.76, 2 As 2.99
O: 0.2500 0.5000 0.1557  2 Hf 2.09, 1 Sc 2.14
O: 0.7500 0.5000 0.8443  2 Hf 2.09, 1 Sc 2.14

---

[6]
First-principles (PBE) data for a relaxed HfScAsO crystal, as listed in OQMD.

Volume in Å³/cell: 151.5
Distance to the lowest polymorph of the same formula in eV per atom: 0.0627
DFT total energy in eV/atom: -8.1599

Lattice parameters (Å, degrees): 3.7683 7.3443 5.4732 90.00 90.00 90.00
With the nearest neighbours (Å) after each atom.
Fractional positions:
Hf: 0.0000 0.1189 0.0000  2 O 2.10-2.12
Hf: 0.0000 0.8811 0.5000  2 O 2.10-2.12
Sc: 0.5000 0.2596 0.4617  2 O 2.08
Sc: 0.5000 0.7404 0.9617  2 O 2.08
As: 0.5000 0.3687 0.9500  2 Hf 2.64, 3 Sc 2.73-2.91
As: 0.5000 0.6313 0.4500  2 Hf 2.64, 3 Sc 2.73-2.91
O: 0.0000 0.1558 0.3805  2 Sc 2.08, 2 Hf 2.10-2.12
O: 0.0000 0.8442 0.8805  2 Sc 2.08, 2 Hf 2.10-2.12

---

[7]
First-principles (PBE) data for a relaxed HfSiAsO crystal, as listed in OQMD.

Volume in Å³/cell: 132.7
Distance to the lowest polymorph of the same formula in eV per atom: 0.8574
DFT total energy in eV/atom: -6.6817

Lattice parameters (Å, degrees): 4.3131 4.3131 7.1327 90.00 90.00 90.00
With the nearest neighbours (Å) after each atom.
Fractional positions:
Hf: 0.2500 0.7500 0.0000  4 As 2.63
Hf: 0.7500 0.2500 0.0000  4 As 2.63
Si: 0.2500 0.2500 0.4386  4 O 2.20
Si: 0.7500 0.7500 0.5614  4 O 2.20
As: 0.2500 0.2500 0.7891  1 Si 2.50, 4 Hf 2.63
As: 0.7500 0.7500 0.2109  1 Si 2.50, 4 Hf 2.63
O: 0.2500 0.7500 0.5000  4 Si 2.20
O: 0.7500 0.2500 0.5000  4 Si 2.20

---

[8]
First-principles (PBE) data for a relaxed HfSiAsO crystal, as listed in OQMD.

Volume in Å³/cell: 131.8
Distance to the lowest polymorph of the same formula in eV per atom: 0.8625
DFT total energy in eV/atom: -6.6766

Lattice parameters (Å, degrees): 4.2526 4.2526 7.2899 90.00 90.00 90.00
With the nearest neighbours (Å) after each atom.
Fractional positions:
Hf: 0.2500 0.7500 0.0000  4 As 2.64
Hf: 0.7500 0.2500 0.0000  4 As 2.64
Si: 0.2500 0.2500 0.4394  4 O 2.17
Si: 0.7500 0.7500 0.5606  4 O 2.17
As: 0.2500 0.2500 0.7859  1 Si 2.53, 4 Hf 2.64
As: 0.7500 0.7500 0.2141  1 Si 2.53, 4 Hf 2.64
O: 0.2500 0.7500 0.5000  4 Si 2.17
O: 0.7500 0.2500 0.5000  4 Si 2.17

---

> What is the volume in the first record?

118.9 Å³/cell